Entry 1:
AsOs2Cl | GGA-PBE | relaxed

Space-group type: Cmmm (65)
Crystal system: orthorhombic
ρ (kg/m3): 12773
Polymorph energy (0 for the lowest one) (eV/atom): 0.605
Total energy (eV per atom): -6.3568
Uncorrected formation energy (eV/atom): 0.882
Magnetization (μB per cell): 0.00

Structure (extended XYZ):
```
4
Lattice="-0.3701 2.9546 0.3720 0.2867 -1.8621 2.3356 8.2646 1.0569 -0.1720" Properties=species:S:1:pos:R:3 pbc="T T T"
As 2.0245 0.8105 1.3108
Os 0.1455 0.0186 -0.0030
Os 3.9868 0.5099 -0.0830
Cl 6.1567 1.3389 1.2248
```

Entry 2:
Li5Cu4 | GGA-PBE | relaxed

Space-group type: I4/mmm (139)
Crystal system: tetragonal
ΔE_f (eV per atom): -0.018
ρ (kg/m3): 3875
Polymorph energy (0 for the lowest one) (eV/atom): 0.000
Total energy (eV per atom): -2.9022
Magnetization (μB per cell): 0.00

Structure (extended XYZ):
```
9
Lattice="6.0301 -0.0199 0.0000 -4.8374 3.6002 0.0000 -0.5963 -1.7902 5.7273" Properties=species:S:1:pos:R:3 pbc="T T T"
Li 2.4866 1.1605 0.0000
Li 0.5963 1.7902 1.9924
Li 0.0000 0.0000 0.0000
Li -1.2939 2.4199 0.0000
Li 0.0000 0.0000 3.7349
Cu -3.5488 1.1822 3.7405
Cu 1.8849 -0.6279 1.9868
Cu 3.5488 -1.1822 3.7405
Cu -1.8849 0.6279 1.9868
```

Entry 3:
NpTc2Os | GGA-PBE | relaxed

Space-group type: R-3m (166)
Crystal system: trigonal
ΔE_f (eV per atom): 0.250
ρ (kg/m3): 16122
Polymorph energy (0 for the lowest one) (eV/atom): 0.140
Total energy (eV per atom): -10.9756
Magnetization (μB per cell): 2.19

Structure (extended XYZ):
```
4
Lattice="-1.1683 -1.4070 2.0578 1.0021 -2.4581 0.7298 5.9517 3.0546 7.3092" Properties=species:S:1:pos:R:3 pbc="T T T"
Np 0.0000 0.0000 0.0000
Os 2.8927 -0.4052 5.0484
Tc 4.1749 -0.7265 7.3982
Tc 1.6106 -0.0839 2.6986
```

Entry 4:
ReMoPCl2 | GGA-PBE | relaxed

Space-group type: P4/mmm (123)
Crystal system: tetragonal
ρ (kg/m3): 5657
Polymorph energy (0 for the lowest one) (eV/atom): 0.118
Total energy (eV per atom): -5.3192
Uncorrected formation energy (eV/atom): 1.157
Magnetization (μB per cell): 6.70

Structure (extended XYZ):
```
5
Lattice="-1.0963 4.6468 0.4800 -3.4857 -1.1419 3.0937 3.1732 0.3653 3.7100" Properties=species:S:1:pos:R:3 pbc="T T T"
P 1.5866 0.1827 1.8550
Cl -1.7428 -0.5710 1.5469
Cl -0.5481 2.3234 0.2400
Re -0.7044 1.9351 3.6419
Mo 0.0000 0.0000 0.0000
```

Entry 5:
Sm2CoPb | GGA-PBE | relaxed

Space-group type: P4/mmm (123)
Crystal system: tetragonal
ΔE_f (eV per atom): -0.252
ρ (kg/m3): 9450
Polymorph energy (0 for the lowest one) (eV/atom): 0.000
Total energy (eV per atom): -5.3156
Magnetization (μB per cell): 0.43

Structure (extended XYZ):
```
4
Lattice="-1.5451 -0.8109 -3.0097 -1.2394 -2.9224 1.4236 -6.7655 4.0321 2.3869" Properties=species:S:1:pos:R:3 pbc="T T T"
Sm -5.3888 3.2116 1.9012
Sm -1.3767 0.8205 0.4857
Pb -4.7750 0.1494 0.4004
Co -1.3923 -1.8666 -0.7930
```

Entry 6:
TbNdScAl | GGA-PBE | relaxed

Space-group type: F-43m (216)
Crystal system: cubic
ΔE_f (eV per atom): -0.099
ρ (kg/m3): 5894
Total energy (eV per atom): -4.9668
Magnetization (μB per cell): 0.86

Structure (extended XYZ):
```
4
Lattice="-2.4068 1.9359 -4.3155 -4.4889 -2.2206 -1.7557 -4.6048 2.5960 0.4695" Properties=species:S:1:pos:R:3 pbc="T T T"
Sc -8.6254 1.7335 -4.2013
Nd 0.0000 0.0000 0.0000
Al -2.8751 0.5778 -1.4004
Tb -5.7503 1.1556 -2.8009
```

Entry 7:
Sb3P | GGA-PBE | relaxed

Space-group type: Cmmm (65)
Crystal system: orthorhombic
ρ (kg/m3): 6751
Polymorph energy (0 for the lowest one) (eV/atom): 0.289
Total energy (eV per atom): -4.0474
Uncorrected formation energy (eV/atom): 0.397
Magnetization (μB per cell): 0.00

Structure (extended XYZ):
```
4
Lattice="-2.6917 -1.2217 1.3143 2.6074 -1.0681 1.5893 -0.5440 7.7919 6.1289" Properties=species:S:1:pos:R:3 pbc="T T T"
P 0.0000 0.0000 0.0000
Sb -0.4701 4.9852 6.2736
Sb -0.1582 0.5169 2.7589
Sb -0.2720 3.8959 3.0645
```

Entry 8:
PrSmTm2 | GGA-PBE | relaxed

Space-group type: Fm-3m (225)
Crystal system: cubic
ΔE_f (eV per atom): 0.099
ρ (kg/m3): 7969
Polymorph energy (0 for the lowest one) (eV/atom): 0.081
Total energy (eV per atom): -4.5118
Magnetization (μB per cell): 0.00

Structure (extended XYZ):
```
4
Lattice="-0.6030 5.5950 0.9196 -4.6220 1.9635 2.7010 0.4585 2.0861 5.2869" Properties=species:S:1:pos:R:3 pbc="T T T"
Pr -2.3832 4.8223 4.4537
Tm -3.5748 7.2335 6.6806
Tm -1.1916 2.4112 2.2269
Sm 0.0000 0.0000 0.0000
```

Entry 9:
Mg8Tl2Ge | GGA-PBE | relaxed

Space-group type: C2/m (12)
Crystal system: monoclinic
ΔE_f (eV per atom): -0.031
ρ (kg/m3): 4364
Total energy (eV per atom): -2.0408
Magnetization (μB per cell): 0.00

Structure (extended XYZ):
```
11
Lattice="4.7045 0.0000 0.0000 0.0000 6.1691 0.0221 -2.3523 -2.5950 8.8517" Properties=species:S:1:pos:R:3 pbc="T T T"
Mg 0.0000 -1.7904 6.2261
Mg 2.3523 5.3645 2.6476
Mg 2.3523 2.8299 4.9559
Mg 0.0000 0.7442 3.9179
Mg 2.3523 -1.0208 8.4679
Mg 0.0000 4.5949 0.4058
Mg 2.3523 2.3275 1.6099
Mg 0.0000 1.2467 7.2639
Tl 2.3523 -0.0186 5.6744
Tl 0.0000 3.5928 3.1994
Ge 2.3523 0.0000 0.0000
```

Entry 10:
DyFe12 | GGA-PBE | relaxed

Space-group type: I4/mmm (139)
Crystal system: tetragonal
ΔE_f (eV per atom): -0.007
ρ (kg/m3): 8303
Total energy (eV per atom): -8.1724
Magnetization (μB per cell): 26.02

Structure (extended XYZ):
```
13
Lattice="4.6787 0.0000 0.0000 2.3393 5.9657 0.0000 2.3393 0.0000 5.9657" Properties=species:S:1:pos:R:3 pbc="T T T"
Fe 3.5090 0.0000 2.9829
Fe 1.1697 0.0000 2.9829
Fe 4.6787 2.1372 2.1372
Fe 4.6787 4.6128 1.3529
Fe 2.3393 2.1372 3.8285
Fe 7.0180 4.6128 4.6128
Fe 1.1697 2.9829 0.0000
Fe 3.5090 2.9829 0.0000
Fe 4.6787 1.3529 4.6128
Fe 4.6787 3.8285 3.8285
Fe 2.3393 3.8285 2.1372
Fe 2.3393 1.3529 1.3529
Dy 0.0000 0.0000 0.0000
```

Entry 11:
Tb2Pm2Ru3 | GGA-PBE | relaxed

Space-group type: R-3m (166)
Crystal system: trigonal
ΔE_f (eV per atom): -0.205
ρ (kg/m3): 9329
Polymorph energy (0 for the lowest one) (eV/atom): 0.026
Total energy (eV per atom): -6.8605
Magnetization (μB per cell): 0.00

Structure (extended XYZ):
```
7
Lattice="0.2990 4.1285 -2.6242 2.1974 -4.0813 -1.5968 -7.4073 -3.3705 -1.5711" Properties=species:S:1:pos:R:3 pbc="T T T"
Ru -4.9052 -1.4992 -2.9223
Ru -0.0057 -1.8240 -2.8697
Ru 0.0000 0.0000 0.0000
Pm -2.4877 -2.5806 -4.3534
Pm -2.4232 -0.7427 -1.4387
Tb -5.0384 -4.4691 -3.0332
Tb 0.1274 1.1459 -2.7589
```

Entry 12:
Tb6Sb3TePb2 | GGA-PBE | relaxed

Space-group type: C2/m (12)
Crystal system: monoclinic
ρ (kg/m3): 8437
Total energy (eV per atom): -5.1803
Uncorrected formation energy (eV/atom): -0.955
Magnetization (μB per cell): 0.00

Structure (extended XYZ):
```
12
Lattice="-0.1540 1.5517 -4.0561 8.1995 -3.2917 -1.5705 -5.8101 -8.0068 -0.5148" Properties=species:S:1:pos:R:3 pbc="T T T"
Tb -1.4003 -1.9169 -3.0080
Tb 3.6357 -7.8298 -3.1334
Tb 2.7983 -3.5510 -3.7925
Tb 2.0968 -0.8436 -0.4023
Tb -0.5629 -6.1957 -2.3489
Tb 0.1386 -8.9032 -5.7391
Sb 4.0228 -0.8700 -2.8133
Sb -2.6632 -4.6168 -3.9929
Sb 4.8986 -5.1300 -2.1485
Te -0.0770 0.7759 -2.0280
Pb 1.4679 -6.2392 -4.7704
Pb 0.7675 -3.5076 -1.3710
```

Entry 13:
Nd2SmTm | GGA-PBE | relaxed

Space-group type: Imm2 (44)
Crystal system: orthorhombic
ΔE_f (eV per atom): 0.108
ρ (kg/m3): 7492
Polymorph energy (0 for the lowest one) (eV/atom): 0.092
Total energy (eV per atom): -4.5734
Magnetization (μB per cell): 0.00

Structure (extended XYZ):
```
4
Lattice="3.1610 -6.0626 1.4769 5.3345 -0.1000 4.5234 -6.7520 1.3005 -1.2835" Properties=species:S:1:pos:R:3 pbc="T T T"
Nd 8.4815 -6.1525 5.9904
Nd 1.5185 -1.0154 3.1930
Tm 4.2579 -3.0886 3.0073
Sm 0.2289 -3.8496 1.5265
```

Entry 14:
BaDyHg2 | GGA-PBE | relaxed

Space-group type: P4/mmm (123)
Crystal system: tetragonal
ΔE_f (eV per atom): -0.474
ρ (kg/m3): 9510
Total energy (eV per atom): -2.2561
Magnetization (μB per cell): 0.00

Structure (extended XYZ):
```
4
Lattice="3.8869 0.0000 0.0000 0.0000 3.8869 0.0000 0.0000 0.0000 8.1022" Properties=species:S:1:pos:R:3 pbc="T T T"
Dy 1.9434 1.9434 0.0000
Hg 0.0000 0.0000 1.6560
Hg 0.0000 0.0000 6.4462
Ba 1.9434 1.9434 4.0511
```

Entry 15:
Co5Cu | GGA-PBE | relaxed

Space-group type: P6/mmm (191)
Crystal system: hexagonal
ΔE_f (eV per atom): 0.368
ρ (kg/m3): 7949
Polymorph energy (0 for the lowest one) (eV/atom): 0.308
Total energy (eV per atom): -6.2367
Magnetization (μB per cell): 8.75

Structure (extended XYZ):
```
6
Lattice="2.3024 -3.9878 0.0000 2.3024 3.9878 0.0000 0.0000 0.0000 4.0750" Properties=species:S:1:pos:R:3 pbc="T T T"
Co 1.1512 1.9939 2.0375
Co 1.1512 -1.9939 2.0375
Co 2.3024 -1.3293 0.0000
Co 2.3024 0.0000 2.0375
Co 2.3024 1.3293 0.0000
Cu 0.0000 0.0000 0.0000
```

Entry 16:
Dy2MgIn8 | GGA-PBE | relaxed

Space-group type: P4/mmm (123)
Crystal system: tetragonal
ΔE_f (eV per atom): -0.270
ρ (kg/m3): 7464
Total energy (eV per atom): -3.2433
Magnetization (μB per cell): 0.00

Structure (extended XYZ):
```
11
Lattice="-0.0980 4.7508 0.9616 -4.1354 0.4198 -2.4954 -6.2591 -2.1553 10.0102" Properties=species:S:1:pos:R:3 pbc="T T T"
In -5.1973 -0.8678 3.7574
In -2.9136 -0.0814 0.1052
In -7.4809 -1.6542 7.4096
In -5.4622 0.5114 9.1381
In -3.1786 1.2977 5.4859
In -4.0833 1.9081 2.3783
In -6.4092 1.1072 6.0981
In -0.8949 2.0841 1.8337
Dy -1.9663 -0.6771 3.1447
Dy -4.2928 -1.4782 6.8654
Mg 0.0000 0.0000 0.0000
```

Entry 17:
Pa3AlGa12 | GGA-PBE | relaxed

Space-group type: P4/mmm (123)
Crystal system: tetragonal
ΔE_f (eV per atom): -0.251
ρ (kg/m3): 8379
Total energy (eV per atom): -4.5352
Magnetization (μB per cell): 0.00

Structure (extended XYZ):
```
16
Lattice="4.3177 0.0000 0.0000 0.0000 4.3177 0.0000 0.0000 0.0000 16.5485" Properties=species:S:1:pos:R:3 pbc="T T T"
Al 0.0000 0.0000 0.0000
Ga 2.1588 2.1588 12.4026
Ga 2.1588 0.0000 6.1372
Ga 2.1588 0.0000 1.8399
Ga 2.1588 2.1588 0.0000
Ga 0.0000 2.1588 1.8399
Ga 2.1588 0.0000 10.4113
Ga 0.0000 2.1588 14.7086
Ga 0.0000 2.1588 10.4113
Ga 2.1588 0.0000 14.7086
Ga 2.1588 2.1588 8.2743
Ga 0.0000 2.1588 6.1372
Ga 2.1588 2.1588 4.1459
Pa 0.0000 0.0000 12.5525
Pa 0.0000 0.0000 3.9960
Pa 0.0000 0.0000 8.2743
```

Entry 18:
MnNi5Ge | GGA-PBE | relaxed

Space-group type: P4/mmm (123)
Crystal system: tetragonal
ΔE_f (eV per atom): -0.111
ρ (kg/m3): 8154
Polymorph energy (0 for the lowest one) (eV/atom): 0.000
Total energy (eV per atom): -6.2101
Magnetization (μB per cell): 3.76

Structure (extended XYZ):
```
7
Lattice="3.5977 0.0000 0.0000 0.0000 3.5977 0.0000 0.0000 0.0000 6.6242" Properties=species:S:1:pos:R:3 pbc="T T T"
Ni 1.7989 0.0000 1.5433
Ni 0.0000 1.7989 1.5433
Ni 1.7989 0.0000 5.0809
Ni 0.0000 1.7989 5.0809
Ni 1.7989 1.7989 3.3121
Ge 1.7989 1.7989 0.0000
Mn 0.0000 0.0000 3.3121
```

Entry 19:
CePt10Pb | GGA-PBE | relaxed

Space-group type: Pmmm (47)
Crystal system: orthorhombic
ΔE_f (eV per atom): -0.408
ρ (kg/m3): 16916
Total energy (eV per atom): -6.2459
Magnetization (μB per cell): 0.25

Structure (extended XYZ):
```
12
Lattice="4.4467 0.0000 0.0000 0.0000 5.4262 0.0000 0.0000 0.0000 9.3495" Properties=species:S:1:pos:R:3 pbc="T T T"
Pt 0.0000 2.7131 7.7810
Pt 2.2233 4.0904 7.0619
Pt 0.0000 0.0000 6.2422
Pt 2.2233 4.0904 2.2876
Pt 0.0000 2.7131 1.5685
Pt 0.0000 0.0000 3.1073
Pt 2.2233 2.7131 0.0000
Pt 2.2233 1.3359 7.0619
Pt 2.2233 0.0000 4.6747
Pt 2.2233 1.3359 2.2876
Ce 0.0000 0.0000 0.0000
Pb 0.0000 2.7131 4.6747
```

Entry 20:
SrAg3W | GGA-PBE | relaxed

Space-group type: Pm-3m (221)
Crystal system: cubic
ΔE_f (eV per atom): 0.917
ρ (kg/m3): 7151
Polymorph energy (0 for the lowest one) (eV/atom): 0.000
Total energy (eV per atom): -3.7208
Magnetization (μB per cell): 0.68

Structure (extended XYZ):
```
5
Lattice="5.1698 0.0000 0.0000 0.0000 5.1698 0.0000 0.0000 0.0000 5.1698" Properties=species:S:1:pos:R:3 pbc="T T T"
Sr 2.5849 2.5849 2.5849
W 0.0000 0.0000 0.0000
Ag 0.0000 2.5849 0.0000
Ag 2.5849 0.0000 0.0000
Ag 0.0000 0.0000 2.5849
```

Entry 21:
CaCrRe2 | GGA-PBE | relaxed

Space-group type: I4/mmm (139)
Crystal system: tetragonal
ΔE_f (eV per atom): 0.838
ρ (kg/m3): 11325
Polymorph energy (0 for the lowest one) (eV/atom): 0.359
Total energy (eV per atom): -8.2925
Magnetization (μB per cell): 2.88

Structure (extended XYZ):
```
4
Lattice="5.3998 0.0142 0.0000 2.6910 4.6815 0.0000 -4.0454 -2.3479 2.6982" Properties=species:S:1:pos:R:3 pbc="T T T"
Re 4.0454 2.3479 0.0000
Re 0.0000 0.0000 0.0000
Cr 2.6999 0.0071 1.3491
Ca 1.3455 2.3408 1.3491
```

Entry 22:
La2ScTe5Au | GGA-PBE | relaxed

Space-group type: Cmc2_1 (36)
Crystal system: orthorhombic
ρ (kg/m3): 7062
Total energy (eV per atom): -5.1484
Uncorrected formation energy (eV/atom): -1.240
Magnetization (μB per cell): 0.00

Structure (extended XYZ):
```
18
Lattice="4.3639 0.0000 0.0000 -2.1819 9.5583 0.0000 0.0000 0.0000 13.0537" Properties=species:S:1:pos:R:3 pbc="T T T"
Te 2.1819 2.9095 6.5623
Te 2.1819 4.0307 2.1336
Te 2.1819 3.8159 11.0493
Te 2.1819 0.0246 3.5902
Te 0.0000 5.5276 8.6605
Te 0.0000 0.8148 0.9088
Te 0.0000 9.5337 10.1170
Te 0.0000 5.7424 4.5225
Te 2.1819 8.7435 7.4356
Te 0.0000 6.6489 0.0355
Sc 0.0000 3.5744 0.1435
Sc 2.1819 5.9840 6.6703
La 0.0000 2.1942 9.0252
La 2.1819 7.1737 10.5706
La 0.0000 2.3846 4.0437
La 2.1819 7.3642 2.4983
Au 2.1819 1.4420 12.4604
Au 0.0000 8.1163 5.9335
```

Entry 23:
Hg2TeRh | GGA-PBE | relaxed

Space-group type: Cmmm (65)
Crystal system: orthorhombic
ρ (kg/m3): 11235
Polymorph energy (0 for the lowest one) (eV/atom): 0.271
Total energy (eV per atom): -2.5904
Uncorrected formation energy (eV/atom): 0.184
Magnetization (μB per cell): 0.00

Structure (extended XYZ):
```
4
Lattice="-3.5204 0.3804 -2.8204 3.0781 -1.9929 -2.6545 -1.5358 -4.1754 1.3539" Properties=species:S:1:pos:R:3 pbc="T T T"
Rh -0.9891 -2.8940 -2.0605
Hg -1.6473 -0.2933 -2.7733
Hg 1.2050 -1.3192 -2.7016
Te -0.7679 -2.0877 0.6769
```

Entry 24:
CaBeIr3 | GGA-PBE | relaxed

Space-group type: Pm-3m (221)
Crystal system: cubic
ΔE_f (eV per atom): -0.032
ρ (kg/m3): 13327
Polymorph energy (0 for the lowest one) (eV/atom): 0.000
Total energy (eV per atom): -6.4938
Magnetization (μB per cell): 0.00

Structure (extended XYZ):
```
5
Lattice="-2.3538 -3.4078 1.0476 0.7555 -1.7036 -3.8442 3.4842 -1.9327 1.5413" Properties=species:S:1:pos:R:3 pbc="T T T"
Ir 0.3778 -0.8518 -1.9221
Ir 1.7421 -0.9664 0.7706
Ir -1.1769 -1.7039 0.5238
Ca 0.9430 -3.5221 -0.6277
Be 0.0000 0.0000 0.0000
```

Entry 25:
KCa2CeBr8 | GGA-PBE | relaxed

Space-group type: P2/m (10)
Crystal system: monoclinic
ρ (kg/m3): 3367
Total energy (eV per atom): -3.9226
Uncorrected formation energy (eV/atom): -1.888
Magnetization (μB per cell): 1.00

Structure (extended XYZ):
```
12
Lattice="-5.6757 3.4160 2.6906 -0.6382 -4.7994 4.8261 5.4534 4.7626 5.4577" Properties=species:S:1:pos:R:3 pbc="T T T"
Br 2.7818 0.6508 8.3309
Br -1.3715 1.0958 7.9457
Br -0.2205 -1.9714 5.3257
Br 1.2055 3.5252 10.7824
Br 0.5109 2.2834 5.0287
Br -0.6401 5.3506 7.6487
Br -2.0660 -0.1460 2.1921
Br -3.6424 2.7284 4.6435
Ca 0.8990 2.8506 7.8176
Ca -1.7596 0.5286 5.1568
K 2.7267 2.3813 2.7289
Ce 0.0000 0.0000 0.0000
```